The following is a DFT calculation (SCAN) of a crystal of CaFe2O4 relaxed with PBEsol. Values from VASP.

Results
The value obtained for the spin magnetization is 0.286 μB/atom. As for the uncorrected formation energy: -2083.4 meV/atom. As for the energy above the lowest structure with this stoichiometry: 0 meV per atom. The value obtained for the calculated total energy is -12.20 eV per atom.

```
&SYSTEM
  ibrav = 0, nat = 28, ntyp = 3
/
ATOMIC_SPECIES
Ca 40.08 Ca.upf
Fe 55.84 Fe.upf
O 16.00 O.upf
CELL_PARAMETERS angstrom
5.7440 0.0000 0.0000
0.0000 10.7906 0.0000
0.0000 0.0000 4.7788
ATOMIC_POSITIONS crystal
Ca 0.2500 0.2500 0.0348
Ca 0.2500 0.7500 0.3415
Ca 0.7500 0.2500 0.6585
Ca 0.7500 0.7500 0.9652
Fe 0.0000 0.0000 0.5000
Fe 0.0000 0.5000 0.5000
Fe 0.2500 0.5060 0.9938
Fe 0.2500 0.9940 0.9938
Fe 0.5000 0.0000 0.5000
Fe 0.5000 0.5000 0.5000
Fe 0.7500 0.0060 0.0062
Fe 0.7500 0.4940 0.0062
O 0.0022 0.0977 0.8405
O 0.0022 0.4023 0.8405
O 0.2500 0.0884 0.3347
O 0.2500 0.4116 0.3347
O 0.2500 0.5958 0.6584
O 0.2500 0.9042 0.6584
O 0.4978 0.0977 0.8405
O 0.4978 0.4023 0.8405
O 0.5022 0.5977 0.1595
O 0.5022 0.9023 0.1595
O 0.7500 0.0958 0.3416
O 0.7500 0.4042 0.3416
O 0.7500 0.5884 0.6653
O 0.7500 0.9116 0.6653
O 0.9978 0.5977 0.1595
O 0.9978 0.9023 0.1595
```